Entry 1:
! Eu2GdCd, relaxed, DFT PBE-GGA; values from VASP
! Space group: No. 123
! Spin magnetization: 7.49 μB per cell
! ΔE_f: -0.13 eV per formula unit
! E above lowest polymorph: 0 meV/atom
&SYSTEM
  ibrav = 0, nat = 4, ntyp = 3
/
ATOMIC_SPECIES
Eu 151.96 Eu.upf
Gd 157.25 Gd.upf
Cd 112.41 Cd.upf
ATOMIC_POSITIONS angstrom
Eu 0.000 2.512 0.000
Eu 2.512 0.000 0.000
Gd 0.000 0.000 2.579
Cd 2.512 2.512 2.579
CELL_PARAMETERS angstrom
5.023 0.000 0.000
0.000 5.023 0.000
0.000 0.000 5.159

Entry 2:
! ScNbAs2Br, relaxed, DFT PBE-GGA; values from VASP
! Space group: No. 123
! Spin magnetization: 2.63 μB per cell
! E above lowest polymorph: 368 meV/atom
! Uncorrected formation energy: 39.4 kJ per mole of atoms
&SYSTEM
  ibrav = 0, nat = 5, ntyp = 4
/
ATOMIC_SPECIES
Sc 44.96 Sc.upf
Nb 92.91 Nb.upf
As 74.92 As.upf
Br 79.90 Br.upf
ATOMIC_POSITIONS angstrom
Sc 0.000 0.000 0.000
Nb 2.533 2.533 2.548
As 0.000 2.533 0.000
As 2.533 0.000 0.000
Br 0.000 0.000 2.548
CELL_PARAMETERS angstrom
5.066 0.000 0.000
0.000 5.066 0.000
0.000 0.000 5.096

The records above yield D(E_F) values of 6.51 3.90 states/eV/f.u., respectively.